[1]
Below is an optimized crystal structure of DyEr3C2, with properties calculated at the GGA-PBE level.

a = 7.338 Å, b = 7.338 Å, c = 7.338 Å
α = 58.17°, β = 58.17°, γ = 58.17°
Last column: magnetic moment on the atom in μB.
Fractional coordinates of all 12 atoms:
1 Dy 0.741 0.741 0.741  0.11
2 Dy 0.259 0.259 0.259  0.11
3 Er 0.760 0.760 0.261  0.11
4 Er 0.261 0.760 0.760  0.11
5 Er 0.760 0.261 0.760  0.11
6 Er 0.739 0.240 0.240  0.11
7 Er 0.240 0.240 0.739  0.11
8 Er 0.240 0.739 0.240  0.11
9 C 0.000 0.000 0.000  -0.01
10 C 0.500 0.500 0.000  -0.01
11 C 0.500 0.000 0.500  -0.01
12 C 0.000 0.500 0.500  -0.01

formation enthalpy at 0 K: -313 meV per atom
space-group type: R-3m
uncorrected energy: -6.436 eV/atom
D(E_F): 0.68 states/eV per atom

=====

[2]
Below is an optimized crystal structure of CdTcOs2, with properties calculated at the GGA-PBE level.

a = 4.651 Å, b = 4.651 Å, c = 2.912 Å
α = 90.00°, β = 90.00°, γ = 90.00°
Last column: magnetic moment on the atom in μB.
Fractional coordinates of all 4 atoms:
1 Cd 0.000 0.500 0.500  0.01
2 Os 0.000 0.000 0.000  0.03
3 Os 0.500 0.500 0.000  0.03
4 Tc 0.500 0.000 0.500  0.40

formation enthalpy at 0 K: 809 meV per atom
space-group type: P4/mmm
uncorrected energy: -7.626 eV/atom
D(E_F): 1.05 states/eV per atom

=====

[3]
Below is an optimized crystal structure of Ca4Pa3CdAs8, with properties calculated at the GGA-PBE level.

a = 8.354 Å, b = 8.370 Å, c = 8.355 Å
α = 119.94°, β = 119.99°, γ = 90.00°
Last column: magnetic moment on the atom in μB.
Fractional coordinates of all 16 atoms:
1 Ca 0.500 0.000 0.000  0.00
2 Ca 0.500 0.000 0.500  0.00
3 Ca 0.000 0.000 0.000  0.00
4 Ca 0.000 0.000 0.500  0.00
5 Pa 0.500 0.500 0.000  0.27
6 Pa 0.500 0.500 0.500  0.27
7 Pa 0.000 0.500 0.500  0.27
8 Cd 0.000 0.500 0.000  0.00
9 As 0.248 0.732 0.983  -0.01
10 As 0.249 0.732 0.497  -0.01
11 As 0.256 0.266 0.511  -0.01
12 As 0.735 0.732 0.983  -0.01
13 As 0.265 0.268 0.017  -0.01
14 As 0.744 0.734 0.489  -0.01
15 As 0.751 0.268 0.503  -0.01
16 As 0.752 0.268 0.017  -0.01

formation enthalpy at 0 K: -1005 meV per atom
space-group type: R-3m
uncorrected energy: -5.668 eV/atom
D(E_F): 0.60 states/eV per atom

=====

[4]
Below is an optimized crystal structure of Sm4GePb, with properties calculated at the GGA-PBE level.

a = 6.203 Å, b = 8.675 Å, c = 8.285 Å
α = 114.05°, β = 102.25°, γ = 108.04°
Fractional coordinates of all 12 atoms:
1 Sm 0.053 0.212 0.841
2 Sm 0.777 0.709 0.638
3 Sm 0.288 0.629 0.841
4 Sm 0.361 0.929 0.638
5 Sm 0.639 0.071 0.362
6 Sm 0.712 0.371 0.159
7 Sm 0.223 0.291 0.362
8 Sm 0.947 0.788 0.159
9 Ge 0.251 0.001 0.002
10 Ge 0.749 0.999 0.998
11 Pb 0.371 0.621 0.242
12 Pb 0.629 0.379 0.758

formation enthalpy at 0 K: -483 meV per atom
space-group type: C2/c
uncorrected energy: -5.016 eV/atom
D(E_F): 1.28 states/eV per atom
polymorph energy (0 for the lowest one): 18.4 kJ/mol of formula units